Entry 1:
NaYTiNbO6F: relaxed, GGA-PBE.

crystal system = tetragonal
V = 559.0 Å³ per cell
E above lowest polymorph = 0 meV per atom
symmetry = P4_122, No. 91
E = -89.89 eV per formula unit
formation energy from raw total energies = -2.96 eV per atom

The structure in POSCAR format:
```
NaYTiNbO6F
1.0
7.343 0.000 0.000
0.000 7.343 0.000
0.000 0.000 10.368
Na Y Ti Nb O F
4 4 4 4 24 4
Direct
0.000 0.231 0.000
0.000 0.769 0.500
0.231 0.000 0.750
0.769 0.000 0.250
0.213 0.500 0.750
0.500 0.213 0.000
0.500 0.787 0.500
0.787 0.500 0.250
0.267 0.500 0.250
0.500 0.267 0.500
0.500 0.733 0.000
0.733 0.500 0.750
0.000 0.262 0.500
0.000 0.738 0.000
0.262 0.000 0.250
0.738 0.000 0.750
0.051 0.456 0.367
0.051 0.544 0.133
0.066 0.066 0.375
0.066 0.934 0.125
0.251 0.279 0.576
0.251 0.721 0.924
0.279 0.251 0.174
0.279 0.749 0.326
0.451 0.451 0.375
0.451 0.549 0.125
0.456 0.051 0.383
0.456 0.949 0.117
0.544 0.051 0.617
0.544 0.949 0.883
0.549 0.451 0.625
0.549 0.549 0.875
0.721 0.251 0.826
0.721 0.749 0.674
0.749 0.279 0.424
0.749 0.721 0.076
0.934 0.066 0.625
0.934 0.934 0.875
0.949 0.456 0.633
0.949 0.544 0.867
0.253 0.253 0.875
0.253 0.747 0.625
0.747 0.253 0.125
0.747 0.747 0.375
```



Entry 2:
LiCe3Pb4: relaxed, GGA-PBE.

crystal system = tetragonal
V = 229.2 Å³ per cell
E above lowest polymorph = 7 meV per atom
symmetry = I4/mmm, No. 139
ΔE_f = -0.33 eV/atom
E = -37.17 eV per formula unit

The structure in POSCAR format:
```
LiCe3Pb4
1.0
-2.841 2.841 7.100
2.841 -2.841 7.100
2.841 2.841 -7.100
Li Ce Pb
1 3 4
Direct
0.000 0.000 0.000
0.247 0.247 0.000
0.500 0.500 0.000
0.753 0.753 0.000
0.119 0.619 0.500
0.381 0.881 0.500
0.619 0.119 0.500
0.881 0.381 0.500
```



Entry 3:
NdLu2Hf: relaxed, GGA-PBE.

crystal system = tetragonal
V = 112.8 Å³ per cell
E above lowest polymorph = 0 meV per atom
symmetry = P4/mmm, No. 123
ΔE_f = 0.15 eV/atom
E = -23.17 eV per formula unit

The structure in POSCAR format:
```
NdLu2Hf
1.0
4.835 0.000 0.000
0.000 4.835 0.000
0.000 0.000 4.825
Nd Lu Hf
1 2 1
Direct
0.000 0.000 0.000
0.000 0.500 0.500
0.500 0.000 0.500
0.500 0.500 0.000
```



Entry 4:
Rb3YGa: relaxed, GGA-PBE.

crystal system = cubic
V = 399.3 Å³ per cell
E above lowest polymorph = 335 meV per atom
symmetry = Pm-3m, No. 221
ΔE_f = 1.07 eV/atom
E = -7.06 eV per formula unit

The structure in POSCAR format:
```
Rb3YGa
1.0
7.363 0.000 0.000
0.000 7.363 0.000
0.000 0.000 7.363
Rb Y Ga
3 1 1
Direct
0.000 0.000 0.500
0.000 0.500 0.000
0.500 0.000 0.000
0.000 0.000 0.000
0.500 0.500 0.500
```